No. 1
Entry from Alexandria: crystalline LuCoGe at its relaxed geometry (GGA-PBE).

```
LuCoGe
1.0
4.174 0.000 0.000
0.000 6.732 0.000
0.000 0.000 7.123
Ge Lu Co
4 4 4
Direct
0.250 0.794 0.104
0.250 0.294 0.396
0.750 0.206 0.896
0.750 0.706 0.604
0.750 0.508 0.198
0.250 0.992 0.698
0.750 0.008 0.302
0.250 0.492 0.802
0.250 0.156 0.065
0.250 0.656 0.435
0.750 0.344 0.565
0.750 0.844 0.935
```

***

No. 2
Entry from Alexandria: crystalline LuCoGePd at its relaxed geometry (GGA-PBE).

```
LuCoGePd
1.0
-2.990 -3.189 -1.025
1.239 -4.316 -0.022
-1.498 -2.782 3.190
Ge Lu Co Pd
1 1 1 1
Direct
0.000 0.000 0.000
0.500 0.500 0.500
0.250 0.250 0.250
0.750 0.750 0.750
```

***

No. 3
Entry from Alexandria: crystalline PmLuCoGe at its relaxed geometry (GGA-PBE).

```
PmLuCoGe
1.0
-3.568 3.396 -0.210
-1.872 1.342 -4.359
-4.590 -1.320 -1.223
Ge Lu Co Pm
1 1 1 1
Direct
0.500 0.500 0.500
0.250 0.250 0.250
0.000 0.000 0.000
0.750 0.750 0.750
```

***

no.,energy of formation from the pure elements (eV/f.u.)
1,-2.1
2,-1.9
3,-1.4